Entry 1:
DFT (PBE) results for a geometry-optimized TcGeN structure.

Computed properties:
D(E_F)   0.37 states/eV/f.u.
ΔE_f (raw)   0.0664 eV per atom
Polymorph energy (0 for the lowest one)   111 meV/atom

Unit cell a=3.086 b=3.086 c=14.289 alpha=90.00 beta=90.00 gamma=120.00
Element x y z (fractional)
N 0.667 0.333 0.930
Tc 0.333 0.667 0.673
Tc 0.667 0.333 0.340
Ge 0.000 0.000 0.466
N 0.000 0.000 0.596
Ge 0.333 0.667 0.133
Tc 0.000 0.000 0.007
N 0.333 0.667 0.263
Ge 0.667 0.333 0.800


Entry 2:
DFT (PBE) results for a geometry-optimized ReNiBP2 structure.

Computed properties:
D(E_F)   0.65 states/eV/f.u.
Polymorph energy (0 for the lowest one)   38 meV/atom

Unit cell a=3.053 b=4.309 c=5.907 alpha=70.46 beta=74.94 gamma=69.11
Element x y z (fractional)
P 0.814 0.695 0.796
B 0.446 0.636 0.594
P 0.402 0.073 0.246
Re 0.691 0.502 0.238
Ni 0.152 0.205 0.613


Question: Which value of polymorph energy (0 for the lowest one) does entry 1 give?
Answer: 111 meV/atom


Question: The highest D(E_F) belongs to which entry?
Answer: ReNiBP2


Question: Look up the polymorph energy (0 for the lowest one) of the first one.
Answer: 111 meV/atom